U2CoNi3P4 | GGA-PBE | relaxed

## Properties
- total DFT energy (no corrections) (eV per atom) = -7.62
- calculated density (Mg/m³) = 9.73
- magnetization (μB per formula unit) = 3.58
- ΔH_f (0 K) (eV/atom) = -0.75

```
U2CoNi3P4
1.0
-2.475 -2.427 -2.030
3.155 -1.697 -1.818
0.529 -5.967 6.489
U P Co Ni
2 4 1 3
Direct
0.500 0.000 0.249
0.000 0.500 0.751
0.000 0.500 0.369
0.500 0.500 0.000
0.000 0.000 0.000
0.500 0.000 0.631
0.500 0.500 0.500
0.000 0.500 0.115
0.500 0.000 0.885
0.000 0.000 0.500
```